Below is an optimized crystal structure of CrTePO2, with properties calculated at the PBE+U level.

Cell lengths 3.748, 3.748, 5.741 Å; angles 90.00, 90.00, 90.00 degrees
Atoms (fractional coordinates):
Cr  0.000  0.000  0.000
Te  0.500  0.500  0.500
P  0.000  0.000  0.500
O  0.000  0.500  0.000
O  0.500  0.000  0.000

**Energy above the lowest structure with this stoichiometry**: 0 meV/atom
**Total moment**: 1.7 μB/f.u.
**Calculated total energy**: -5.588 eV per atom
**D(E_F)**: 0.76 states/eV/atom